# 1
Compound: Ca3Pu3AlN8
Source: the Alexandria database
Functional: PBE
Structure: optimized geometry

For the spin magnetization, the calculation gives 9.000 μB per formula unit. Its total energy is -133.60 eV per cell.

Lattice parameters (Å, degrees): 6.8450 6.8450 6.8450 58.47 58.47 58.47
With the nearest neighbours (Å) after each atom.
Positions (direct):
Ca: 0.0000 0.5000 0.5000  6 N 2.48-2.57
Ca: 0.5000 0.0000 0.5000  6 N 2.48-2.57
Ca: 0.5000 0.5000 0.0000  6 N 2.48-2.57
Pu: 0.0000 0.0000 0.5000  6 N 2.25-2.31
Pu: 0.0000 0.5000 0.0000  6 N 2.25-2.31
Pu: 0.5000 0.0000 0.0000  6 N 2.25-2.31
Al: 0.5000 0.5000 0.5000  6 N 2.15
N: 0.2414 0.2414 0.2414  3 Pu 2.31, 3 Ca 2.48
N: 0.2435 0.7244 0.7244  1 Al 2.15, 2 Pu 2.25
N: 0.2756 0.2756 0.7565  1 Al 2.15, 2 Pu 2.25
N: 0.2756 0.7565 0.2756  1 Al 2.15, 2 Pu 2.25
N: 0.7244 0.2435 0.7244  1 Al 2.15, 2 Pu 2.25
N: 0.7244 0.7244 0.2435  1 Al 2.15, 2 Pu 2.25
N: 0.7565 0.2756 0.2756  1 Al 2.15, 2 Pu 2.25
N: 0.7586 0.7586 0.7586  3 Pu 2.31, 3 Ca 2.48

# 2
Compound: Ca2PuAlN4
Source: the Alexandria database
Functional: PBE
Structure: optimized geometry

For the spin magnetization, the calculation gives 3.000 μB per formula unit. Its total energy is -63.53 eV per cell.

Lattice parameters (Å, degrees): 5.4528 3.4760 5.7869 90.00 104.78 90.00
With the nearest neighbours (Å) after each atom.
Positions (direct):
Ca: 0.0000 0.0000 0.0000  6 N 2.48-2.52
Ca: 0.5000 0.5000 0.0000  6 N 2.41-2.51
Pu: 0.0000 0.5000 0.5000  2 N 2.04
Al: 0.5000 0.0000 0.5000  2 N 1.98
N: 0.2428 0.5000 0.2828  1 Pu 2.04
N: 0.2681 0.0000 0.7123  1 Al 1.98
N: 0.7319 0.0000 0.2877  1 Al 1.98
N: 0.7572 0.5000 0.7172  1 Pu 2.04

# 3
Compound: CaSc2AlN
Source: the Alexandria database
Functional: PBE
Structure: optimized geometry

For the spin magnetization, the calculation gives 0.000 μB per formula unit. Its total energy is -30.97 eV per cell.

Lattice parameters (Å, degrees): 4.4746 4.4746 4.7605 90.00 90.00 90.00
With the nearest neighbours (Å) after each atom.
Positions (direct):
Ca: 0.0000 0.0000 0.0000  2 N 2.38
Sc: 0.0000 0.5000 0.5000  2 N 2.24
Sc: 0.5000 0.0000 0.5000  2 N 2.24
Al: 0.5000 0.5000 0.0000  4 Ca 3.16, 8 Sc 3.27
N: 0.0000 0.0000 0.5000  4 Sc 2.24, 2 Ca 2.38

# 4
Compound: CaAl2SeN
Source: the Alexandria database
Functional: PBE
Structure: optimized geometry

For the spin magnetization, the calculation gives 1.857 μB per formula unit. Its total energy is -13.83 eV per cell.

Lattice parameters (Å, degrees): 6.0517 6.0517 5.2975 90.00 90.00 90.00
With the nearest neighbours (Å) after each atom.
Positions (direct):
Ca: 0.0000 0.0000 0.0000  2 Se 2.65
Al: 0.0000 0.5000 0.0000  2 Ca 3.03
Al: 0.5000 0.0000 0.0000  2 Ca 3.03
Se: 0.0000 0.0000 0.5000  2 Ca 2.65
N: 0.5000 0.5000 0.5000  8 Al 4.02, 4 Se 4.28

# 5
Compound: Ca5Al2Si2N8
Source: the Alexandria database
Functional: PBE
Structure: optimized geometry

For the spin magnetization, the calculation gives 0.000 μB per formula unit. Its total energy is -462.70 eV per cell.

Lattice parameters (Å, degrees): 9.3024 6.1777 15.5580 90.00 90.00 90.00
With the nearest neighbours (Å) after each atom.
Positions (direct):
Ca: 0.0000 0.1372 0.2500  4 N 2.52-2.69
Ca: 0.0000 0.8628 0.7500  4 N 2.52-2.69
Ca: 0.1412 0.1247 0.5745  4 N 2.40-2.64
Ca: 0.1412 0.8753 0.0745  4 N 2.40-2.64
Ca: 0.1974 0.1693 0.8960  6 N 2.38-2.66
Ca: 0.1974 0.8307 0.3960  6 N 2.38-2.66
Ca: 0.3026 0.3307 0.3960  6 N 2.38-2.66
Ca: 0.3026 0.6693 0.8960  6 N 2.38-2.66
Ca: 0.3588 0.3753 0.0745  4 N 2.40-2.64
Ca: 0.3588 0.6247 0.5745  4 N 2.40-2.64
Ca: 0.5000 0.3628 0.7500  4 N 2.52-2.69
Ca: 0.5000 0.6372 0.2500  4 N 2.52-2.69
Ca: 0.6412 0.3753 0.4255  4 N 2.40-2.64
Ca: 0.6412 0.6247 0.9255  4 N 2.40-2.64
Ca: 0.6974 0.3307 0.1040  6 N 2.38-2.66
Ca: 0.6974 0.6693 0.6040  6 N 2.38-2.66
Ca: 0.8026 0.1693 0.6040  6 N 2.38-2.66
Ca: 0.8026 0.8307 0.1040  6 N 2.38-2.66
Ca: 0.8588 0.1247 0.9255  4 N 2.40-2.64
Ca: 0.8588 0.8753 0.4255  4 N 2.40-2.64
Al: 0.1452 0.4112 0.7368  4 N 1.85-1.97
Al: 0.1452 0.5888 0.2368  4 N 1.85-1.97
Al: 0.3548 0.0888 0.2368  4 N 1.85-1.97
Al: 0.3548 0.9112 0.7368  4 N 1.85-1.97
Al: 0.6452 0.0888 0.2632  4 N 1.85-1.97
Al: 0.6452 0.9112 0.7632  4 N 1.85-1.97
Al: 0.8548 0.4112 0.7632  4 N 1.85-1.97
Al: 0.8548 0.5888 0.2632  4 N 1.85-1.97
Si: 0.0067 0.4061 0.4293  4 N 1.71-1.84
Si: 0.0067 0.5939 0.9293  4 N 1.71-1.84
Si: 0.4933 0.0939 0.9293  4 N 1.71-1.84
Si: 0.4933 0.9061 0.4293  4 N 1.71-1.84
Si: 0.5067 0.0939 0.5707  4 N 1.71-1.84
Si: 0.5067 0.9061 0.0707  4 N 1.71-1.84
Si: 0.9933 0.4061 0.0707  4 N 1.71-1.84
Si: 0.9933 0.5939 0.5707  4 N 1.71-1.84
N: 0.0188 0.4269 0.8385  1 Si 1.75, 1 Al 1.93
N: 0.0188 0.5731 0.3385  1 Si 1.75, 1 Al 1.93
N: 0.0468 0.1403 0.4094  1 Si 1.71
N: 0.0468 0.8597 0.9094  1 Si 1.71
N: 0.1408 0.4856 0.0052  2 Si 1.78-1.84
N: 0.1408 0.5144 0.5052  2 Si 1.78-1.84
N: 0.2238 0.1358 0.7326  2 Al 1.85
N: 0.2238 0.8642 0.2326  2 Al 1.85
N: 0.2762 0.3642 0.2326  2 Al 1.85
N: 0.2762 0.6358 0.7326  2 Al 1.85
N: 0.3592 0.0144 0.5052  2 Si 1.78-1.84
N: 0.3592 0.9856 0.0052  2 Si 1.78-1.84
N: 0.4532 0.3597 0.9094  1 Si 1.71
N: 0.4532 0.6403 0.4094  1 Si 1.71
N: 0.4812 0.0731 0.3385  1 Si 1.75, 1 Al 1.93
N: 0.4812 0.9269 0.8385  1 Si 1.75, 1 Al 1.93
N: 0.5188 0.0731 0.1615  1 Si 1.75, 1 Al 1.93
N: 0.5188 0.9269 0.6615  1 Si 1.75, 1 Al 1.93
N: 0.5468 0.3597 0.5906  1 Si 1.71
N: 0.5468 0.6403 0.0906  1 Si 1.71
N: 0.6408 0.0144 0.9948  2 Si 1.78-1.84
N: 0.6408 0.9856 0.4948  2 Si 1.78-1.84
N: 0.7238 0.3642 0.2674  2 Al 1.85
N: 0.7238 0.6358 0.7674  2 Al 1.85
N: 0.7762 0.1358 0.7674  2 Al 1.85
N: 0.7762 0.8642 0.2674  2 Al 1.85
N: 0.8592 0.4856 0.4948  2 Si 1.78-1.84
N: 0.8592 0.5144 0.9948  2 Si 1.78-1.84
N: 0.9532 0.1403 0.0906  1 Si 1.71
N: 0.9532 0.8597 0.5906  1 Si 1.71
N: 0.9812 0.4269 0.6615  1 Si 1.75, 1 Al 1.93
N: 0.9812 0.5731 0.1615  1 Si 1.75, 1 Al 1.93

# 6
Compound: CaAlSi2N
Source: the Alexandria database
Functional: PBE
Structure: optimized geometry

For the spin magnetization, the calculation gives 0.000 μB per formula unit. Its total energy is -23.64 eV per cell.

Lattice parameters (Å, degrees): 4.7911 4.7911 3.7566 90.00 90.00 90.00
With the nearest neighbours (Å) after each atom.
Positions (direct):
Ca: 0.0000 0.0000 0.0000  8 Si 3.04, 4 Al 3.39
Al: 0.5000 0.5000 0.0000  2 N 1.88
Si: 0.0000 0.5000 0.5000  2 N 2.40
Si: 0.5000 0.0000 0.5000  2 N 2.40
N: 0.5000 0.5000 0.5000  2 Al 1.88

- Among the records above, which one has the lowest total energy?
  Ca5Al2Si2N8

- The highest spin magnetization belongs to which entry?
  Ca3Pu3AlN8

- The lowest total energy belongs to which entry?
  Ca5Al2Si2N8

- Look up the total energy of the first one.
  -133.60 eV per cell